1.
First-principles (PBE) data for a geometry-optimized CsCaFeSn2 structure, as listed in Alexandria.

The structure belongs to space group P4/mmm (No. 123); the cell edges are 5.109, 5.109 and 5.564 Å and the angles 90.00°, 90.00° and 90.00°. The distinct sites, in fractional coordinates, are Cs at (0.000, 0.000, 0.000), Ca at (0.500, 0.500, 0.000), Fe at (0.500, 0.500, 0.500) and Sn at (0.000, 0.500, 0.500).

Its crystal system is tetragonal. The calculation puts the formation energy at 0.13 eV/f.u.

=====

2.
First-principles (PBE) data for a geometry-optimized CsCa2TaFe structure, as listed in Alexandria.

The structure belongs to space group P4/mmm (No. 123); the cell edges are 5.587, 5.587 and 5.254 Å and the angles 90.00°, 90.00° and 90.00°. The distinct sites, in fractional coordinates, are Cs at (0.000, 0.000, 0.000), Ca at (0.000, 0.500, 0.000), Ta at (0.000, 0.000, 0.500) and Fe at (0.500, 0.500, 0.500).

Its crystal system is tetragonal. The calculation puts the formation energy at 11.33 eV/f.u.

=====

3.
First-principles (PBE) data for a geometry-optimized CsCa3Ga structure, as listed in Alexandria.

The structure belongs to space group Pm-3m (No. 221); the cell edges are 6.086, 6.086 and 6.086 Å and the angles 90.00°, 90.00° and 90.00°. The distinct sites, in fractional coordinates, are Cs at (0.000, 0.000, 0.000), Ca at (0.000, 0.500, 0.500) and Ga at (0.500, 0.500, 0.500).

Its crystal system is cubic. The calculation puts the formation energy at -0.11 eV/f.u.

=====

4.
First-principles (PBE) data for a geometry-optimized CsCa2Ga structure, as listed in Alexandria.

The structure belongs to space group I4_1/amd (No. 141, origin choice 2); the cell edges are 8.704, 8.704 and 14.123 Å and the angles 90.00°, 90.00° and 90.00°. The distinct sites, in fractional coordinates, are Cs at (0.000, 0.250, 0.375), Ca at (0.000, 0.000, 0.000) and Ga at (0.000, 0.250, 0.875).

Its crystal system is tetragonal. The calculation puts the formation energy at 0.85 eV/f.u.

=====

DOS at the Fermi energy, record by record: 2.330; 5.060; 3.650; 3.077 states/eV/f.u.